# 1
The following is a PBE-GGA calculation of a relaxed La3Tb2PrDy6 crystal, from the Alexandria database.

Output
As for the calculated volume: 398 Å³ per cell. The value obtained for the total energy is -4.686 eV per atom. As for the total moment: 0.0 μB per formula unit.

a = 6.2662 Å, b = 6.2662 Å, c = 11.8946 Å
α = 95.03°, β = 95.03°, γ = 120.01°
Fractional coordinates of all 12 atoms:
Dy (0.0820, 0.4162, 0.2464)
Dy (0.2521, 0.2521, 0.7535)
Dy (0.4162, 0.0820, 0.2464)
Dy (0.9180, 0.5838, 0.7536)
Dy (0.5838, 0.9180, 0.7536)
Dy (0.7479, 0.7479, 0.2465)
La (0.8332, 0.1668, 0.5000)
La (0.5000, 0.5000, 0.5000)
La (0.1668, 0.8332, 0.5000)
Tb (0.6668, 0.3332, 0.0000)
Tb (0.3332, 0.6668, 0.0000)
Pr (0.0000, 0.0000, 0.0000)



# 2
The following is a PBE-GGA calculation of a relaxed La4TbPr2Dy crystal, from the Alexandria database.

Output
As for the calculated volume: 283 Å³ per cell. The value obtained for the total energy is -4.798 eV per atom. As for the total moment: 0.0 μB per formula unit.

a = 5.2659 Å, b = 5.2255 Å, c = 11.5540 Å
α = 63.02°, β = 90.00°, γ = 90.00°
Fractional coordinates of all 8 atoms:
Pr (0.5000, 0.0000, 0.5000)
Pr (0.0000, 0.0000, 0.0000)
La (0.5000, 0.7500, 0.2498)
La (0.0000, 0.7515, 0.7493)
La (0.5000, 0.2500, 0.7502)
La (0.0000, 0.2485, 0.2507)
Tb (0.5000, 0.5000, 0.0000)
Dy (0.0000, 0.5000, 0.5000)



# 3
The following is a PBE-GGA calculation of a relaxed La2TbPr2Dy2 crystal, from the Alexandria database.

Output
As for the calculated volume: 242 Å³ per cell. The value obtained for the total energy is -4.726 eV per atom. As for the total moment: 0.0 μB per formula unit.

a = 5.1713 Å, b = 6.3125 Å, c = 8.2066 Å
α = 97.45°, β = 90.00°, γ = 114.18°
Fractional coordinates of all 7 atoms:
Pr (0.2855, 0.5710, 0.8590)
Pr (0.7145, 0.4290, 0.1410)
Tb (0.0000, 0.0000, 0.0000)
La (0.1420, 0.2840, 0.4257)
La (0.8580, 0.7160, 0.5743)
Dy (0.4297, 0.8595, 0.2846)
Dy (0.5703, 0.1405, 0.7154)



# 4
The following is a PBE-GGA calculation of a relaxed La3TbPr2Dy6 crystal, from the Alexandria database.

Output
As for the calculated volume: 402 Å³ per cell. The value obtained for the total energy is -4.702 eV per atom. As for the total moment: 0.0 μB per formula unit.

a = 6.2944 Å, b = 6.2944 Å, c = 11.8999 Å
α = 95.05°, β = 95.05°, γ = 120.01°
Fractional coordinates of all 12 atoms:
La (0.1670, 0.8330, 0.5000)
La (0.8330, 0.1670, 0.5000)
La (0.5000, 0.5000, 0.5000)
Dy (0.0825, 0.4151, 0.2477)
Dy (0.5849, 0.9175, 0.7523)
Dy (0.9175, 0.5849, 0.7523)
Dy (0.4151, 0.0825, 0.2477)
Dy (0.7500, 0.7500, 0.2478)
Dy (0.2500, 0.2500, 0.7522)
Tb (0.0000, 0.0000, 0.0000)
Pr (0.3335, 0.6665, 0.0000)
Pr (0.6665, 0.3335, 0.0000)



# 5
The following is a PBE-GGA calculation of a relaxed LaTbPrDy3 crystal, from the Alexandria database.

Output
As for the calculated volume: 403 Å³ per cell. The value obtained for the total energy is -4.509 eV per atom. As for the total moment: 0.0 μB per formula unit.

a = 5.6751 Å, b = 10.4359 Å, c = 7.0744 Å
α = 90.26°, β = 90.00°, γ = 105.78°
Fractional coordinates of all 12 atoms:
Pr (0.9459, 0.8917, 0.7365)
Pr (0.0541, 0.1083, 0.2635)
Dy (0.1658, 0.3316, 0.7350)
Dy (0.7792, 0.5583, 0.7543)
Dy (0.4768, 0.9536, 0.2590)
Dy (0.8342, 0.6684, 0.2650)
Dy (0.2208, 0.4417, 0.2457)
Dy (0.5232, 0.0464, 0.7410)
La (0.6462, 0.2924, 0.0346)
La (0.3538, 0.7076, 0.9654)
Tb (0.6497, 0.2995, 0.4633)
Tb (0.3503, 0.7005, 0.5367)



# 6
The following is a PBE-GGA calculation of a relaxed LaTb2Pr4Dy2 crystal, from the Alexandria database.

Output
As for the calculated volume: 309 Å³ per cell. The value obtained for the total energy is -4.704 eV per atom. As for the total moment: 0.0 μB per formula unit.

a = 5.1581 Å, b = 8.1525 Å, c = 8.1458 Å
α = 107.24°, β = 90.00°, γ = 108.44°
Fractional coordinates of all 9 atoms:
Tb (0.1115, 0.2229, 0.6670)
Tb (0.8885, 0.7771, 0.3330)
La (0.0000, 0.0000, 0.0000)
Pr (0.2230, 0.4459, 0.3308)
Pr (0.4454, 0.8908, 0.6669)
Pr (0.5546, 0.1092, 0.3331)
Pr (0.7770, 0.5541, 0.6692)
Dy (0.6689, 0.3378, 0.9984)
Dy (0.3311, 0.6622, 0.0016)



# 7
The following is a PBE-GGA calculation of a relaxed LaTb3Pr6Dy2 crystal, from the Alexandria database.

Output
As for the calculated volume: 413 Å³ per cell. The value obtained for the total energy is -4.710 eV per atom. As for the total moment: 0.0 μB per formula unit.

a = 6.3433 Å, b = 6.3433 Å, c = 12.0302 Å
α = 95.04°, β = 95.04°, γ = 120.01°
Fractional coordinates of all 12 atoms:
Pr (0.7500, 0.7500, 0.2521)
Pr (0.0841, 0.4184, 0.2517)
Pr (0.9159, 0.5816, 0.7483)
Pr (0.2500, 0.2500, 0.7479)
Pr (0.4184, 0.0841, 0.2517)
Pr (0.5816, 0.9159, 0.7483)
Dy (0.6664, 0.3336, 0.0000)
Dy (0.3336, 0.6664, 0.0000)
Tb (0.5000, 0.5000, 0.5000)
Tb (0.8328, 0.1672, 0.5000)
Tb (0.1672, 0.8328, 0.5000)
La (0.0000, 0.0000, 0.0000)



# 8
The following is a PBE-GGA calculation of a relaxed La2Tb5PrDy crystal, from the Alexandria database.

Output
As for the calculated volume: 606 Å³ per cell. The value obtained for the total energy is -4.459 eV per atom. As for the total moment: 0.0 μB per formula unit.

a = 8.7375 Å, b = 8.7375 Å, c = 10.0632 Å
α = 115.73°, β = 115.73°, γ = 90.00°
Fractional coordinates of all 18 atoms:
La (0.1177, 0.3823, 0.0000)
La (0.6177, 0.1177, 0.0000)
La (0.8823, 0.6177, 0.0000)
La (0.3823, 0.8823, 0.0000)
Tb (0.0000, 0.0000, 0.0000)
Tb (0.3556, 0.8556, 0.2811)
Tb (0.5745, 0.6444, 0.7189)
Tb (0.6444, 0.1444, 0.7189)
Tb (0.5000, 0.5000, 0.0000)
Tb (0.9255, 0.4255, 0.2811)
Tb (0.0745, 0.5745, 0.7189)
Tb (0.8556, 0.9255, 0.2811)
Tb (0.1444, 0.0745, 0.7189)
Tb (0.4255, 0.3556, 0.2811)
Pr (0.2500, 0.2500, 0.5000)
Pr (0.7500, 0.7500, 0.5000)
Dy (0.7500, 0.2500, 0.5000)
Dy (0.2500, 0.7500, 0.5000)



# 9
The following is a PBE-GGA calculation of a relaxed LaTbPr3Dy crystal, from the Alexandria database.

Output
As for the calculated volume: 420 Å³ per cell. The value obtained for the total energy is -4.726 eV per atom. As for the total moment: 0.0 μB per formula unit.

a = 5.2123 Å, b = 8.1691 Å, c = 10.9864 Å
α = 116.21°, β = 90.00°, γ = 90.00°
Fractional coordinates of all 12 atoms:
Dy (0.7500, 0.8743, 0.3744)
Dy (0.2500, 0.1257, 0.6256)
Pr (0.7500, 0.3718, 0.5431)
Pr (0.7500, 0.3778, 0.2075)
Pr (0.2500, 0.6222, 0.7925)
Pr (0.2500, 0.1292, 0.9578)
Pr (0.7500, 0.8708, 0.0422)
Pr (0.2500, 0.6282, 0.4569)
La (0.2500, 0.1210, 0.2925)
La (0.7500, 0.8790, 0.7075)
Tb (0.7500, 0.3765, 0.8750)
Tb (0.2500, 0.6235, 0.1250)



# 10
The following is a PBE-GGA calculation of a relaxed La6Tb2PrDy crystal, from the Alexandria database.

Output
As for the calculated volume: 359 Å³ per cell. The value obtained for the total energy is -4.631 eV per atom. As for the total moment: 0.0 μB per formula unit.

a = 9.1054 Å, b = 7.1027 Å, c = 6.7340 Å
α = 121.83°, β = 101.89°, γ = 90.00°
Fractional coordinates of all 10 atoms:
Dy (0.0000, 0.5000, 0.0000)
La (0.1932, 0.5912, 0.6290)
La (0.8068, 0.9623, 0.3710)
La (0.1932, 0.0377, 0.6290)
La (0.4291, 0.6349, 0.2698)
La (0.5709, 0.3651, 0.7302)
La (0.8068, 0.4088, 0.3710)
Tb (0.8373, 0.9150, 0.8300)
Tb (0.1627, 0.0850, 0.1700)
Pr (0.5000, 0.0000, 0.0000)



# 11
The following is a PBE-GGA calculation of a relaxed LaTb2PrDy4 crystal, from the Alexandria database.

Output
As for the calculated volume: 525 Å³ per cell. The value obtained for the total energy is -4.655 eV per atom. As for the total moment: 0.0 μB per formula unit.

a = 7.1929 Å, b = 12.4285 Å, c = 12.4297 Å
α = 146.37°, β = 106.80°, γ = 90.00°
Fractional coordinates of all 16 atoms:
Tb (0.4999, 0.9998, 0.4999)
Tb (0.5001, 0.0002, 0.0002)
Tb (0.9998, 0.9998, 0.4998)
Tb (0.4999, 0.4998, 0.9998)
Dy (0.2511, 0.2486, 0.5021)
Dy (0.2498, 0.2506, 0.9977)
Dy (0.2517, 0.7494, 0.0019)
Dy (0.7503, 0.7494, 0.0023)
Dy (0.2495, 0.7518, 0.4993)
Dy (0.7504, 0.2482, 0.5007)
Dy (0.7483, 0.2506, 0.9981)
Dy (0.7489, 0.7513, 0.4979)
La (0.5002, 0.5002, 0.5003)
La (0.0001, 0.0002, 0.0003)
Pr (0.0001, 0.5002, 0.5002)
Pr (0.0000, 0.4999, 0.9999)



# 12
The following is a PBE-GGA calculation of a relaxed LaTb5Pr2Dy crystal, from the Alexandria database.

Output
As for the calculated volume: 609 Å³ per cell. The value obtained for the total energy is -4.437 eV per atom. As for the total moment: 0.0 μB per formula unit.

a = 8.7885 Å, b = 8.7885 Å, c = 10.0407 Å
α = 115.95°, β = 115.95°, γ = 90.00°
Fractional coordinates of all 18 atoms:
Dy (0.7500, 0.2500, 0.5000)
Dy (0.2500, 0.7500, 0.5000)
Tb (0.5000, 0.5000, 0.0000)
Tb (0.9282, 0.4282, 0.2757)
Tb (0.5718, 0.6524, 0.7243)
Tb (0.0000, 0.0000, 0.0000)
Tb (0.3476, 0.8476, 0.2757)
Tb (0.6524, 0.1524, 0.7243)
Tb (0.4282, 0.3476, 0.2757)
Tb (0.8476, 0.9282, 0.2757)
Tb (0.0718, 0.5718, 0.7243)
Tb (0.1524, 0.0718, 0.7243)
La (0.7500, 0.7500, 0.5000)
La (0.2500, 0.2500, 0.5000)
Pr (0.1182, 0.3818, 0.0000)
Pr (0.6182, 0.1182, 0.0000)
Pr (0.8818, 0.6182, 0.0000)
Pr (0.3818, 0.8818, 0.0000)



Formation energy values (in eV per formula unit) by entry order: 0.2 0.1 0.2 0.2 1.1 0.2 0.2 2.3 0.1 1.9 0.1 2.3.